Computed, not measured: ThGa2Cu6 after structural relaxation at the PBE level of DFT.

Calculated values
For the volume, the calculation gives 148 Å³ per cell. The calculated formation energy is -9 meV per atom. The calculation puts the relative energy among the computed polymorphs at 190 meV per atom. The density of states at the Fermi level comes out at 0.4973 states/eV per atom.

Structure (extended XYZ):
```
9
Lattice="-1.6314 2.4848 2.3986 -5.5656 -3.3541 2.7303 -0.1386 -3.2108 6.2731" Properties=species:S:1:pos:R:3 pbc="T T T"
Th 0.0000 0.0000 0.0000
Ga -5.0162 -1.9812 7.7641
Ga -2.3195 -2.0989 3.6379
Cu -1.2670 -0.2888 5.5198
Cu -6.0687 -3.7913 5.8822
Cu -2.8044 -3.7051 8.0131
Cu -4.6217 -2.0652 5.0783
Cu -2.7139 -2.0149 6.3237
Cu -4.5312 -0.3750 3.3888
```

Computed, not measured: Th2Ga4Cu3 after structural relaxation at the PBE level of DFT.

Calculated values
For the volume, the calculation gives 335 Å³ per cell. The calculated formation energy is -362 meV per atom. The density of states at the Fermi level comes out at 0.6006 states/eV per atom.

Structure (extended XYZ):
```
18
Lattice="5.7966 0.0000 0.0000 0.0000 7.6845 0.0000 -2.8983 0.0000 7.5286" Properties=species:S:1:pos:R:3 pbc="T T T"
Th 0.0000 4.5700 1.6988
Th 2.8983 3.1146 5.8298
Th 0.0000 0.7277 5.8298
Th 2.8983 6.9568 1.6988
Ga 1.4492 5.7634 6.6549
Ga 4.3475 1.9211 0.8737
Ga 1.4492 1.9211 0.8737
Ga -1.4492 5.7634 6.6549
Ga 0.0000 7.6045 2.6735
Ga 2.8983 0.0800 4.8552
Ga 0.0000 3.7623 4.8552
Ga 2.8983 3.9223 2.6735
Cu 0.0000 0.0000 0.0000
Cu 2.8983 3.8423 0.0000
Cu 1.4492 5.7634 4.1252
Cu 4.3475 1.9211 3.4034
Cu 1.4492 1.9211 3.4034
Cu -1.4492 5.7634 4.1252
```

Computed, not measured: TmThGaCu after structural relaxation at the PBE level of DFT.

Calculated values
For the volume, the calculation gives 92 Å³ per cell. The calculated formation energy is -307 meV per atom. The density of states at the Fermi level comes out at 1.2553 states/eV per atom.

Structure (extended XYZ):
```
4
Lattice="5.0607 0.0000 0.0000 2.5303 4.3827 0.0000 2.5303 1.4609 4.1320" Properties=species:S:1:pos:R:3 pbc="T T T"
Tm 5.0607 2.9218 2.0660
Ga 7.5910 4.3827 3.0990
Th 0.0000 0.0000 0.0000
Cu 2.5303 1.4609 1.0330
```

Computed, not measured: TmThGa2Cu2 after structural relaxation at the PBE level of DFT.

Calculated values
For the volume, the calculation gives 120 Å³ per cell. The calculated formation energy is -470 meV per atom. The density of states at the Fermi level comes out at 0.8175 states/eV per atom.

Structure (extended XYZ):
```
6
Lattice="-2.7757 -3.3110 -0.4586 4.0277 -0.7278 1.4578 -2.3148 0.9864 6.8881" Properties=species:S:1:pos:R:3 pbc="T T T"
Tm -1.1574 0.4932 3.4441
Th 0.0000 0.0000 0.0000
Ga -2.2082 -1.7253 5.2397
Ga 1.1454 -1.3270 2.6475
Cu -1.1566 -2.1734 2.1107
Cu 0.0939 -0.8789 5.7766
```

Computed, not measured: YThGa2Cu2 after structural relaxation at the PBE level of DFT.

Calculated values
For the volume, the calculation gives 123 Å³ per cell. The calculated formation energy is -464 meV per atom. The density of states at the Fermi level comes out at 1.0453 states/eV per atom.

Structure (extended XYZ):
```
6
Lattice="4.3457 0.0000 0.0000 -2.1728 3.7635 0.0000 0.0000 0.0000 7.5055" Properties=species:S:1:pos:R:3 pbc="T T T"
Y 0.0000 0.0000 3.7528
Th 0.0000 0.0000 0.0000
Ga 2.1728 1.2545 5.5730
Ga 0.0000 2.5090 1.9325
Cu 2.1728 1.2545 2.0261
Cu 0.0000 2.5090 5.4794
```

Computed, not measured: ThZnGaCu3 after structural relaxation at the PBE level of DFT.

Calculated values
For the volume, the calculation gives 215 Å³ per cell. The calculated formation energy is -31 meV per atom. The density of states at the Fermi level comes out at 0.5301 states/eV per atom.

Structure (extended XYZ):
```
12
Lattice="-3.1537 -4.2872 2.7148 4.0606 -4.1627 -1.8568 1.0852 2.9173 5.8675" Properties=species:S:1:pos:R:3 pbc="T T T"
Th -0.5216 -2.7207 4.9590
Th 2.5136 -2.8119 1.7665
Zn 1.4681 -0.4663 4.2561
Zn 0.5240 -5.0663 2.4694
Ga 4.0560 -2.3981 4.2119
Ga -2.0640 -3.1345 2.5137
Cu 0.1796 -0.8121 2.2134
Cu 1.2093 -1.2398 -0.5530
Cu 1.2744 -5.0666 0.0536
Cu -0.3675 -3.3833 0.8044
Cu 2.8512 -2.9230 -1.3038
Cu 1.8124 -4.7206 4.5121
```

Computed, not measured: Th2Zn3GaCu12 after structural relaxation at the PBE level of DFT.

Calculated values
For the volume, the calculation gives 332 Å³ per cell. The calculated formation energy is 266 meV per atom. The density of states at the Fermi level comes out at 0.4879 states/eV per atom.

Structure (extended XYZ):
```
18
Lattice="-3.8284 -6.3538 -0.7754 2.7194 -5.6788 3.9980 -4.1463 -1.7788 5.9391" Properties=species:S:1:pos:R:3 pbc="T T T"
Th -3.1597 -8.3039 5.5083
Th -2.0956 -5.5075 3.6534
Zn -1.9142 -3.1769 -0.3877
Zn 1.3597 -2.8394 1.9990
Zn -2.0732 -0.8894 2.9695
Ga 0.0000 0.0000 0.0000
Cu -0.4160 -4.4340 1.1976
Cu -2.4148 -10.9733 4.8641
Cu -2.5761 -8.6517 8.2714
Cu -0.5325 -2.7578 3.6577
Cu -5.8989 -8.9942 5.8490
Cu -2.9315 -3.0051 1.9088
Cu -4.8393 -9.3774 7.9641
Cu -2.8405 -2.8380 4.2977
Cu -2.6792 -5.1597 0.8903
Cu -4.7228 -11.0535 5.5040
Cu 0.6436 -4.8171 3.3127
Cu -2.3238 -10.8063 7.2529
```

Computed, not measured: Th2Zn4Ga3Cu after structural relaxation at the PBE level of DFT.

Calculated values
For the volume, the calculation gives 188 Å³ per cell. The calculated formation energy is -391 meV per atom. The density of states at the Fermi level comes out at 0.2590 states/eV per atom.

Structure (extended XYZ):
```
10
Lattice="-2.4781 0.5950 -3.3943 0.8278 -3.9556 -1.2977 -8.2373 -3.4957 5.4010" Properties=species:S:1:pos:R:3 pbc="T T T"
Th -3.3393 -0.5938 -0.3201
Th -5.7232 -4.5822 3.3751
Zn -0.8251 -1.6803 -2.3460
Zn 0.0000 0.0000 0.0000
Zn -6.3993 -1.8924 1.6863
Zn -2.6632 -3.2836 1.3687
Ga -4.1187 -1.7478 2.7005
Ga -8.3340 -2.7134 2.9549
Ga -0.7284 -2.4626 0.1001
Cu -4.9438 -3.4282 0.3545
```

Computed, not measured: ThZnGa2Cu4 after structural relaxation at the PBE level of DFT.

Calculated values
For the volume, the calculation gives 130 Å³ per cell. The calculated formation energy is -218 meV per atom. The density of states at the Fermi level comes out at 0.3684 states/eV per atom.

Structure (extended XYZ):
```
8
Lattice="-2.5338 -1.0360 -3.1721 -3.8910 -1.3442 0.7799 -4.9853 7.2349 -1.1480" Properties=species:S:1:pos:R:3 pbc="T T T"
Th 0.0000 0.0000 0.0000
Zn -5.7051 2.4273 -1.7701
Ga -8.5083 3.5019 -2.6490
Ga -2.9018 1.3528 -0.8911
Cu -6.5198 4.7274 -1.8705
Cu -7.5639 0.8357 -2.5326
Cu -3.8462 4.0190 -1.0076
Cu -4.8904 0.1273 -1.6696
```

Computed, not measured: ThZnGa2Cu after structural relaxation at the PBE level of DFT.

Calculated values
For the volume, the calculation gives 93 Å³ per cell. The calculated formation energy is -447 meV per atom. The density of states at the Fermi level comes out at 0.1857 states/eV per atom.

Structure (extended XYZ):
```
5
Lattice="-1.1770 -1.3394 -3.8399 -0.0045 -3.9971 1.3956 -4.3847 3.1480 2.5799" Properties=species:S:1:pos:R:3 pbc="T T T"
Th 0.0000 0.0000 0.0000
Zn -3.0762 -0.4299 -1.2411
Ga -1.7922 -2.5524 -0.8943
Ga -3.7740 0.3639 1.0298
Cu -2.4900 -1.7587 1.3767
```

Computed, not measured: ThZnGa2Cu2 after structural relaxation at the PBE level of DFT.

Calculated values
For the volume, the calculation gives 106 Å³ per cell. The calculated formation energy is -319 meV per atom. The density of states at the Fermi level comes out at 0.3791 states/eV per atom.

Structure (extended XYZ):
```
6
Lattice="4.2172 0.0000 0.0000 -2.1086 3.6522 0.0000 0.0000 0.0000 6.8847" Properties=species:S:1:pos:R:3 pbc="T T T"
Th 0.0000 0.0000 0.0000
Zn 0.0000 0.0000 3.4424
Ga 2.1086 1.2174 1.9534
Ga 0.0000 2.4348 4.9313
Cu 2.1086 1.2174 4.6437
Cu 0.0000 2.4348 2.2411
```

Computed, not measured: Th2Zn3Ga4Cu after structural relaxation at the PBE level of DFT.

Calculated values
For the volume, the calculation gives 189 Å³ per cell. The calculated formation energy is -426 meV per atom. The density of states at the Fermi level comes out at 0.2096 states/eV per atom.

Structure (extended XYZ):
```
10
Lattice="4.2794 0.0000 0.0000 0.0000 4.2794 0.0000 0.0000 0.0000 10.3317" Properties=species:S:1:pos:R:3 pbc="T T T"
Th 2.1397 0.0000 2.6557
Th 0.0000 2.1397 7.6761
Zn 0.0000 0.0000 5.1659
Zn 2.1397 0.0000 8.9193
Zn 0.0000 2.1397 1.4124
Ga 2.1397 2.1397 0.0000
Ga 0.0000 0.0000 0.0000
Ga 2.1397 0.0000 6.4758
Ga 0.0000 2.1397 3.8560
Cu 2.1397 2.1397 5.1659
```

Repeat the seventh record exactly.
Computed, not measured: Th2Zn3GaCu12 after structural relaxation at the PBE level of DFT.

Calculated values
For the volume, the calculation gives 332 Å³ per cell. The calculated formation energy is 266 meV per atom. The density of states at the Fermi level comes out at 0.4879 states/eV per atom.

Structure (extended XYZ):
```
18
Lattice="-3.8284 -6.3538 -0.7754 2.7194 -5.6788 3.9980 -4.1463 -1.7788 5.9391" Properties=species:S:1:pos:R:3 pbc="T T T"
Th -3.1597 -8.3039 5.5083
Th -2.0956 -5.5075 3.6534
Zn -1.9142 -3.1769 -0.3877
Zn 1.3597 -2.8394 1.9990
Zn -2.0732 -0.8894 2.9695
Ga 0.0000 0.0000 0.0000
Cu -0.4160 -4.4340 1.1976
Cu -2.4148 -10.9733 4.8641
Cu -2.5761 -8.6517 8.2714
Cu -0.5325 -2.7578 3.6577
Cu -5.8989 -8.9942 5.8490
Cu -2.9315 -3.0051 1.9088
Cu -4.8393 -9.3774 7.9641
Cu -2.8405 -2.8380 4.2977
Cu -2.6792 -5.1597 0.8903
Cu -4.7228 -11.0535 5.5040
Cu 0.6436 -4.8171 3.3127
Cu -2.3238 -10.8063 7.2529
```